1.
VASP calculation (GGA-PBE) on a geometry-optimized DyHoGa2I2 structure.

As for the total magnetization: 0.0 μB/f.u.

Lattice parameters (Å, degrees): 4.1881 4.1881 12.1396 90.00 90.00 120.00
Space group P3m1 (No. 156)
Inequivalent atoms, fractional coordinates:
Dy 0.0000 0.0000 0.0000
Ho 0.0000 0.0000 0.3305
Ga 0.3333 0.6667 0.1940
Ga 0.6667 0.3333 0.1372
I 0.3333 0.6667 0.8354
I 0.6667 0.3333 0.4944

2.
VASP calculation (GGA-PBE) on a geometry-optimized BaGaAu2 structure.

Lattice parameters (Å, degrees): 4.8466 5.5575 8.2389 90.00 90.00 90.00
Space group Pmc2_1 (No. 26)
Inequivalent atoms, fractional coordinates:
Ba 0.0000 0.0615 0.0000
Ga 0.5000 0.3122 0.6583
Au 0.0000 0.4693 0.7296
Au 0.5000 0.2781 0.3333

3.
VASP calculation (GGA-PBE) on a geometry-optimized BaUBe structure.

As for the total magnetization: 3.4 μB/f.u. The value obtained for the polymorph energy (0 for the lowest one) is 0 meV per atom.

Lattice parameters (Å, degrees): 7.0846 7.0846 7.0846 90.00 90.00 90.00
Space group F-43m (No. 216)
Inequivalent atoms, fractional coordinates:
Ba 0.0000 0.0000 0.0000
U 0.0000 0.0000 0.5000
Be 0.2500 0.2500 0.2500

4.
VASP calculation (GGA-PBE) on a geometry-optimized NaGdSiO4 structure.

As for the total magnetization: 0.0 μB/f.u.

Lattice parameters (Å, degrees): 11.6073 11.6073 5.3293 90.00 90.00 90.00
Space group I4/m (No. 87)
Inequivalent atoms, fractional coordinates:
Na 0.0860 0.3945 0.0000
Gd 0.1218 0.8092 0.0000
Si 0.0976 0.2365 0.5000
O 0.0388 0.1908 0.2420
O 0.1028 0.3796 0.5000
O 0.1924 0.7668 0.5000

5.
VASP calculation (GGA-PBE) on a geometry-optimized Ba2AlIrS6 structure.

As for the total magnetization: 0.1 μB/f.u.

Lattice parameters (Å, degrees): 9.5884 9.5884 9.5884 90.00 90.00 90.00
Space group Fm-3m (No. 225)
Inequivalent atoms, fractional coordinates:
Ba 0.2500 0.2500 0.2500
Al 0.0000 0.0000 0.0000
Ir 0.0000 0.0000 0.5000
S 0.0000 0.0000 0.2505

6.
VASP calculation (GGA-PBE) on a geometry-optimized NdTlHg structure.

As for the total magnetization: 0.0 μB/f.u.

Lattice parameters (Å, degrees): 5.3382 5.3382 6.6146 90.00 90.00 120.00
Space group P6_3/mmc (No. 194)
Inequivalent atoms, fractional coordinates:
Nd 0.3333 0.6667 0.2500
Tl 0.0000 0.0000 0.0000
Hg 0.3333 0.6667 0.7500

7.
VASP calculation (GGA-PBE) on a geometry-optimized GdTlAu structure.

As for the total magnetization: 0.0 μB/f.u.

Lattice parameters (Å, degrees): 6.9663 6.9663 6.9663 90.00 90.00 90.00
Space group F-43m (No. 216)
Inequivalent atoms, fractional coordinates:
Gd 0.0000 0.0000 0.0000
Tl 0.2500 0.2500 0.2500
Au 0.2500 0.2500 0.7500

8.
VASP calculation (GGA-PBE) on a geometry-optimized Ta3CdB2 structure.

As for the total magnetization: 0.0 μB/f.u.

Lattice parameters (Å, degrees): 3.2707 3.2707 19.6679 90.00 90.00 120.00
Space group P6_3/mmc (No. 194)
Inequivalent atoms, fractional coordinates:
Ta 0.0000 0.0000 0.0000
Ta 0.3333 0.6667 0.1264
Cd 0.0000 0.0000 0.2500
B 0.3333 0.6667 0.5687

9.
VASP calculation (GGA-PBE) on a geometry-optimized GdGeTeAuSe2 structure.

As for the total magnetization: 0.0 μB/f.u.

Lattice parameters (Å, degrees): 4.0169 13.9287 11.1758 90.00 90.00 90.00
Space group Cmcm (No. 63)
Inequivalent atoms, fractional coordinates:
Gd 0.0000 0.0000 0.0000
Ge 0.0000 0.1830 0.2500
Te 0.0000 0.1110 0.7500
Au 0.0000 0.4722 0.7500
Se 0.0000 0.3553 0.5625

10.
VASP calculation (GGA-PBE) on a geometry-optimized GaOsPb structure.

As for the total magnetization: 0.0 μB/f.u.

Lattice parameters (Å, degrees): 6.2759 6.2759 6.2759 90.00 90.00 90.00
Space group F-43m (No. 216)
Inequivalent atoms, fractional coordinates:
Ga 0.0000 0.0000 0.0000
Os 0.2500 0.2500 0.7500
Pb 0.2500 0.2500 0.2500

11.
VASP calculation (GGA-PBE) on a geometry-optimized LiZnCoCu structure.

As for the total magnetization: 0.0 μB/f.u. The value obtained for the polymorph energy (0 for the lowest one) is 0 meV per atom.

Lattice parameters (Å, degrees): 5.7060 5.7060 5.7060 90.00 90.00 90.00
Space group F-43m (No. 216)
Inequivalent atoms, fractional coordinates:
Li 0.0000 0.0000 0.0000
Zn 0.2500 0.2500 0.2500
Co 0.0000 0.0000 0.5000
Cu 0.2500 0.2500 0.7500

12.
VASP calculation (GGA-PBE) on a geometry-optimized CsZrAuSe3 structure.

As for the total magnetization: 0.0 μB/f.u. The value obtained for the polymorph energy (0 for the lowest one) is 30 meV per atom.

Lattice parameters (Å, degrees): 3.9942 16.2976 10.4412 90.00 90.00 90.00
Space group Cmcm (No. 63)
Inequivalent atoms, fractional coordinates:
Cs 0.0000 0.2462 0.2500
Zr 0.0000 0.0000 0.0000
Au 0.0000 0.4583 0.7500
Se 0.0000 0.0653 0.7500
Se 0.0000 0.3843 0.5338

| no. | raw total energy (eV/f.u.) |
| --- | --- |
| 1 | -24.47 |
| 2 | -13.52 |
| 3 | -13.06 |
| 4 | -51.62 |
| 5 | -50.54 |
| 6 | -8.66 |
| 7 | -10.78 |
| 8 | -52.06 |
| 9 | -26.87 |
| 10 | -15.25 |
| 11 | -13.87 |
| 12 | -29.24 |